16
Lattice="4.736 0.000 0.000 0.000 4.736 0.000 0.000 0.000 13.566" Properties=species:S:1:pos:R:3 comment="PBE Re2PbO, optimized geometry" volume_a3_per_cell=304.3 magmom_total_mub_per_cell=0.000 rho_g_cm3=13.00 spacegroup="No. 122" raw_formation_energy_ev_per_atom=0.634 pbc="T T T"
Re 0.306 1.184 1.696
Re 1.184 2.674 5.087
Re 1.184 4.429 11.870
Re 2.062 1.184 8.479
Re 2.674 3.552 8.479
Re 3.552 0.306 11.870
Re 3.552 2.062 5.087
Re 4.429 3.552 1.696
Pb 0.000 0.000 6.783
Pb 0.000 2.368 10.174
Pb 2.368 0.000 3.391
Pb 2.368 2.368 0.000
O 0.000 0.000 0.000
O 0.000 2.368 3.391
O 2.368 0.000 10.174
O 2.368 2.368 6.783